Record 1
A plane-wave DFT calculation with PBE-GGA was carried out for an optimized crystal structure of Ca2PPt.

```
data_Ca2PPt
_chemical_formula_sum 'Ca4 P2 Pt2'
_cell_length_a 7.6083
_cell_length_b 3.2813
_cell_length_c 7.5702
_cell_angle_alpha 90.00
_cell_angle_beta 100.59
_cell_angle_gamma 90.00
_space_group_name_H-M_alt 'C 1 2/m 1'
_space_group_IT_number 12
_space_group_name_Hall '-C 2y'
loop_
_atom_site_label
_atom_site_type_symbol
_atom_site_fract_x
_atom_site_fract_y
_atom_site_fract_z
Ca1 Ca 0.2451 0.0000 0.2394
P1 P 0.0000 0.5000 0.0000
Pt1 Pt 0.0000 0.0000 0.5000
```

Energy of formation = -0.71 eV per atom
Polymorph energy (0 for the lowest one) = 282 meV per atom
Size of the total moment = 0.000 μB per atom
N(E_F) = 0.2044 states/eV/atom

***

Record 2
A plane-wave DFT calculation with PBE-GGA was carried out for an optimized crystal structure of CaPPt2.

```
data_CaPPt2
_chemical_formula_sum 'Ca4 P4 Pt8'
_cell_length_a 5.0424
_cell_length_b 5.0424
_cell_length_c 15.3153
_cell_angle_alpha 90.00
_cell_angle_beta 90.00
_cell_angle_gamma 90.00
_space_group_name_H-M_alt 'I -4 2 d'
_space_group_IT_number 122
_space_group_name_Hall 'I -4 2bw'
loop_
_atom_site_label
_atom_site_type_symbol
_atom_site_fract_x
_atom_site_fract_y
_atom_site_fract_z
Ca1 Ca 0.0000 0.0000 0.0000
P1 P 0.0000 0.0000 0.5000
Pt1 Pt 0.0528 0.2500 0.6250
```

Energy of formation = -0.72 eV per atom
Polymorph energy (0 for the lowest one) = 73 meV per atom
Size of the total moment = 0.000 μB per atom
N(E_F) = 0.3638 states/eV/atom

***

Repeat the first record exactly.
A plane-wave DFT calculation with PBE-GGA was carried out for an optimized crystal structure of Ca2PPt.

```
data_Ca2PPt
_chemical_formula_sum 'Ca4 P2 Pt2'
_cell_length_a 7.6083
_cell_length_b 3.2813
_cell_length_c 7.5702
_cell_angle_alpha 90.00
_cell_angle_beta 100.59
_cell_angle_gamma 90.00
_space_group_name_H-M_alt 'C 1 2/m 1'
_space_group_IT_number 12
_space_group_name_Hall '-C 2y'
loop_
_atom_site_label
_atom_site_type_symbol
_atom_site_fract_x
_atom_site_fract_y
_atom_site_fract_z
Ca1 Ca 0.2451 0.0000 0.2394
P1 P 0.0000 0.5000 0.0000
Pt1 Pt 0.0000 0.0000 0.5000
```

Energy of formation = -0.71 eV per atom
Polymorph energy (0 for the lowest one) = 282 meV per atom
Size of the total moment = 0.000 μB per atom
N(E_F) = 0.2044 states/eV/atom

***

Among the records above, which one has the lowest N(E_F)?
Ca2PPt

***

The highest polymorph energy (0 for the lowest one) belongs to which entry?
Ca2PPt

***

energy of formation of number 1 (Ca2PPt)?
-0.71 eV per atom